A relaxed structure of La4Tm4Pb7, computed with PBE-GGA.

Structure (POSCAR):
```
La4Tm4Pb7
1.0
-6.7498 -0.3751 -1.6024
-1.8202 -11.0385 -4.8098
-5.6612 -4.4407 9.8249
Pb Tm La
14 8 8
direct
0.0000 0.7237 0.2763
0.7440 0.0000 0.0000
0.2763 0.7237 0.7237
0.7000 0.0000 0.5999
0.3000 0.4001 0.0000
0.7000 0.5999 0.0000
0.3000 0.0000 0.4001
0.0000 0.2763 0.7237
0.5000 0.4056 0.5944
0.7237 0.2763 0.2763
0.5000 0.5944 0.4056
0.0944 0.4056 0.4056
0.2560 0.0000 0.0000
0.9056 0.5944 0.5944
0.8992 0.2017 0.5000
0.3992 0.2017 0.5000
0.1008 0.5000 0.7983
0.6008 0.7983 0.5000
0.8992 0.5000 0.2017
0.1008 0.7983 0.5000
0.3992 0.5000 0.2017
0.6008 0.5000 0.7983
0.1327 0.0000 0.7346
0.5000 0.1916 0.8084
0.1327 0.7346 0.0000
0.8673 0.2654 0.0000
0.6916 0.8084 0.8084
0.8673 0.0000 0.2654
0.3084 0.1916 0.1916
0.5000 0.8084 0.1916
```

Crystal system   tetragonal
SG   I4/mmm, No. 139
Formation energy   -0.51 eV/atom
Size of the total moment   0.00 μB per formula unit